[1]
Below is an optimized crystal structure of InPbCl2, with properties calculated at the PBE-GGA level. Values from VASP.

## Properties
VASP energy = -3.174 eV/atom
raw formation energy = -61.6 kJ/mol of atoms
E above lowest polymorph = 70 meV/atom
magnetic moment = 0.0000 μB/atom
space group = Cm, No. 8

Geometry as Quantum ESPRESSO input:
```
&SYSTEM
  ibrav = 0, nat = 4, ntyp = 3
/
ATOMIC_SPECIES
In 114.82 In.upf
Cl 35.45 Cl.upf
Pb 207.20 Pb.upf
CELL_PARAMETERS angstrom
5.963 -0.023 -0.009
4.928 3.358 -0.009
1.224 0.375 5.544
ATOMIC_POSITIONS crystal
In 0.513 0.513 0.606
Cl 0.994 0.994 0.043
Cl 0.778 0.778 0.680
Pb 0.215 0.215 0.171
```

***

[2]
Below is an optimized crystal structure of KNa4Pb, with properties calculated at the PBE-GGA level. Values from VASP.

## Properties
VASP energy = -1.690 eV/atom
E above lowest polymorph = 42 meV/atom
magnetic moment = 0.0000 μB/atom
DFT formation energy = -0.01 eV per atom
space group = F-43m, No. 216

Geometry as Quantum ESPRESSO input:
```
&SYSTEM
  ibrav = 0, nat = 6, ntyp = 3
/
ATOMIC_SPECIES
Na 22.99 Na.upf
K 39.10 K.upf
Pb 207.20 Pb.upf
CELL_PARAMETERS angstrom
-0.337 -4.258 5.096
0.215 -6.550 -1.121
5.369 -3.501 1.768
ATOMIC_POSITIONS crystal
Na 0.627 0.627 0.119
Na 0.119 0.627 0.627
K 0.250 0.250 0.250
Na 0.627 0.627 0.627
Pb 0.000 0.000 0.000
Na 0.627 0.119 0.627
```

***

[3]
Below is an optimized crystal structure of LiSc2Te, with properties calculated at the PBE-GGA level. Values from VASP.

## Properties
VASP energy = -4.736 eV/atom
raw formation energy = -29.5 kJ/mol of atoms
magnetic moment = 0.0000 μB/atom
space group = R-3m, No. 166

Geometry as Quantum ESPRESSO input:
```
&SYSTEM
  ibrav = 0, nat = 4, ntyp = 3
/
ATOMIC_SPECIES
Li 6.94 Li.upf
Te 127.60 Te.upf
Sc 44.96 Sc.upf
CELL_PARAMETERS angstrom
-4.476 -4.496 4.355
-2.070 -6.974 2.509
-0.850 -5.083 5.715
ATOMIC_POSITIONS crystal
Li 0.750 0.750 0.750
Te 0.250 0.250 0.250
Sc 0.502 0.502 0.502
Sc 0.998 0.998 0.998
```

***

[4]
Below is an optimized crystal structure of Pm3PrEr, with properties calculated at the PBE-GGA level. Values from VASP.

## Properties
VASP energy = -4.702 eV/atom
E above lowest polymorph = 0 meV/atom
magnetic moment = 0.0000 μB/atom
DFT formation energy = 0.02 eV per atom
space group = P-1, No. 2

Geometry as Quantum ESPRESSO input:
```
&SYSTEM
  ibrav = 0, nat = 10, ntyp = 3
/
ATOMIC_SPECIES
Pm 145.00 Pm.upf
Pr 140.91 Pr.upf
Er 167.26 Er.upf
CELL_PARAMETERS angstrom
7.540 -0.008 -2.990
-0.816 10.026 -2.137
-2.115 -1.599 5.717
ATOMIC_POSITIONS crystal
Pm 0.799 0.802 0.198
Pm 0.202 0.703 0.804
Pr 0.000 0.000 0.000
Pm 0.798 0.297 0.196
Pm 0.201 0.198 0.802
Pr 0.000 0.500 0.000
Pm 0.599 0.601 0.398
Er 0.599 0.098 0.397
Pm 0.401 0.399 0.602
Er 0.401 0.902 0.603
```